The following is a GGA-PBEsol calculation of a relaxed BaLa2HfIr crystal, from Alexandria.

Output
The value obtained for the calculated volume is 32.400 Å³ per atom. The value obtained for the formation energy is 210 kJ/mol of formula units. The calculated total energy is -6.20 eV/atom.

a = 5.7676 Å, b = 5.7676 Å, c = 4.8700 Å
α = 90.00°, β = 90.00°, γ = 90.00°
Closest atoms and distances in Å follow each position.
Fractional coordinates of all 5 atoms:
Ba 0.0000 0.0000 0.0000  8 La 3.77, 4 Ir 4.08
La 0.0000 0.5000 0.5000  2 Hf 2.88
La 0.5000 0.0000 0.5000  2 Hf 2.88
Hf 0.5000 0.5000 0.5000  2 Ir 2.43
Ir 0.5000 0.5000 0.0000  2 Hf 2.43

***

The following is a GGA-PBEsol calculation of a relaxed BaHfIrOs2 crystal, from Alexandria.

Output
The value obtained for the calculated volume is 24.492 Å³ per atom. The value obtained for the formation energy is 1150 kJ/mol of formula units. The calculated total energy is -7.00 eV/atom.

a = 4.7246 Å, b = 4.7246 Å, c = 5.4862 Å
α = 90.00°, β = 90.00°, γ = 90.00°
Closest atoms and distances in Å follow each position.
Fractional coordinates of all 5 atoms:
Ba 0.0000 0.0000 0.0000  2 Hf 2.74
Hf 0.0000 0.0000 0.5000  4 Os 2.36
Ir 0.5000 0.5000 0.0000  4 Ba 3.34, 8 Os 3.62
Os 0.0000 0.5000 0.5000  2 Hf 2.36
Os 0.5000 0.0000 0.5000  2 Hf 2.36

***

The following is a GGA-PBEsol calculation of a relaxed BaSr2HfIr crystal, from Alexandria.

Output
The value obtained for the calculated volume is 36.555 Å³ per atom. The value obtained for the formation energy is 271 kJ/mol of formula units. The calculated total energy is -4.67 eV/atom.

a = 6.1612 Å, b = 6.1612 Å, c = 4.8148 Å
α = 90.00°, β = 90.00°, γ = 90.00°
Closest atoms and distances in Å follow each position.
Fractional coordinates of all 5 atoms:
Ba 0.0000 0.0000 0.0000  8 Sr 3.91, 4 Ir 4.36
Sr 0.0000 0.5000 0.5000  2 Hf 3.08
Sr 0.5000 0.0000 0.5000  2 Hf 3.08
Hf 0.5000 0.5000 0.5000  2 Ir 2.41
Ir 0.5000 0.5000 0.0000  2 Hf 2.41

***

The following is a GGA-PBEsol calculation of a relaxed BaLaHf2Pd crystal, from Alexandria.

Output
The value obtained for the calculated volume is 31.547 Å³ per atom. The value obtained for the formation energy is 720 kJ/mol of formula units. The calculated total energy is -5.40 eV/atom.

a = 5.1668 Å, b = 5.1668 Å, c = 5.9085 Å
α = 90.00°, β = 90.00°, γ = 90.00°
Closest atoms and distances in Å follow each position.
Fractional coordinates of all 5 atoms:
Ba 0.0000 0.0000 0.0000  2 La 2.95
La 0.0000 0.0000 0.5000  4 Hf 2.58
Hf 0.0000 0.5000 0.5000  2 La 2.58
Hf 0.5000 0.0000 0.5000  2 La 2.58
Pd 0.5000 0.5000 0.0000  4 Ba 3.65, 8 Hf 3.92

***

The following is a GGA-PBEsol calculation of a relaxed Ba3LiHf crystal, from Alexandria.

Output
The value obtained for the calculated volume is 42.588 Å³ per atom. The value obtained for the formation energy is 456 kJ/mol of formula units. The calculated total energy is -2.84 eV/atom.

a = 5.9715 Å, b = 5.9715 Å, c = 5.9715 Å
α = 90.00°, β = 90.00°, γ = 90.00°
Closest atoms and distances in Å follow each position.
Fractional coordinates of all 5 atoms:
Ba 0.0000 0.0000 0.5000  2 Li 2.99
Ba 0.0000 0.5000 0.0000  2 Li 2.99
Ba 0.5000 0.0000 0.0000  2 Li 2.99
Li 0.0000 0.0000 0.0000  6 Ba 2.99
Hf 0.5000 0.5000 0.5000  12 Ba 4.22

***

The following is a GGA-PBEsol calculation of a relaxed BaLi2Hf2 crystal, from Alexandria.

Output
The value obtained for the calculated volume is 24.046 Å³ per atom. The value obtained for the formation energy is 318 kJ/mol of formula units. The calculated total energy is -4.76 eV/atom.

a = 8.8272 Å, b = 8.8272 Å, c = 3.0861 Å
α = 90.00°, β = 90.00°, γ = 90.00°
Closest atoms and distances in Å follow each position.
Fractional coordinates of all 10 atoms:
Ba 0.0000 0.0000 0.0000  2 Ba 3.09, 4 Li 3.27
Ba 0.5000 0.5000 0.0000  2 Ba 3.09, 4 Li 3.27
Li 0.1727 0.3273 0.0000  6 Hf 3.02-3.06, 2 Li 3.09, 2 Ba 3.27
Li 0.3273 0.8273 0.0000  6 Hf 3.02-3.06, 2 Li 3.09, 2 Ba 3.27
Li 0.6727 0.1727 0.0000  6 Hf 3.02-3.06, 2 Li 3.09, 2 Ba 3.27
Li 0.8273 0.6727 0.0000  6 Hf 3.02-3.06, 2 Li 3.09, 2 Ba 3.27
Hf 0.1160 0.6160 0.5000  3 Hf 2.90-3.09, 6 Li 3.02-3.06
Hf 0.3840 0.1160 0.5000  3 Hf 2.90-3.09, 6 Li 3.02-3.06
Hf 0.6160 0.8840 0.5000  3 Hf 2.90-3.09, 6 Li 3.02-3.06
Hf 0.8840 0.3840 0.5000  3 Hf 2.90-3.09, 6 Li 3.02-3.06

***

The following is a GGA-PBEsol calculation of a relaxed Ba3HfMg crystal, from Alexandria.

Output
The value obtained for the calculated volume is 51.049 Å³ per atom. The value obtained for the formation energy is 523 kJ/mol of formula units. The calculated total energy is -2.65 eV/atom.

a = 6.3433 Å, b = 6.3433 Å, c = 6.3433 Å
α = 90.00°, β = 90.00°, γ = 90.00°
Closest atoms and distances in Å follow each position.
Fractional coordinates of all 5 atoms:
Ba 0.0000 0.0000 0.5000  2 Mg 3.17
Ba 0.0000 0.5000 0.0000  2 Mg 3.17
Ba 0.5000 0.0000 0.0000  2 Mg 3.17
Hf 0.5000 0.5000 0.5000  12 Ba 4.49
Mg 0.0000 0.0000 0.0000  6 Ba 3.17

***

The following is a GGA-PBEsol calculation of a relaxed BaHfMnW2 crystal, from Alexandria.

Output
The value obtained for the calculated volume is 24.672 Å³ per atom. The value obtained for the formation energy is 1611 kJ/mol of formula units. The calculated total energy is -6.67 eV/atom.

a = 4.9375 Å, b = 4.9375 Å, c = 5.0601 Å
α = 90.00°, β = 90.00°, γ = 90.00°
Closest atoms and distances in Å follow each position.
Fractional coordinates of all 5 atoms:
Ba 0.0000 0.0000 0.0000  4 W 2.47, 2 Hf 2.53
Hf 0.0000 0.0000 0.5000  2 Ba 2.53
Mn 0.5000 0.5000 0.5000  4 Hf 3.49, 8 W 3.53
W 0.0000 0.5000 0.0000  2 Ba 2.47
W 0.5000 0.0000 0.0000  2 Ba 2.47